1.
# ScMnAs2 PBE-GGA relaxed
# Excess energy over the best structure of this formula in the dataset, kJ/mol of formula units: 42
# Raw total energy, eV per atom: -6.76
data_ScMnAs2
_space_group_name_H-M_alt 'C 1 m 1'
_space_group_IT_number 8
_cell_length_a 10.652
_cell_length_b 3.642
_cell_length_c 3.887
_cell_angle_alpha 90.00
_cell_angle_beta 90.04
_cell_angle_gamma 90.00
loop_
_space_group_symop_operation_xyz
'x,y,z'
'x,-y,z'
'x+1/2,y+1/2,z'
'x+1/2,-y+1/2,z'
loop_
_atom_site_label
_atom_site_type_symbol
_atom_site_fract_x
_atom_site_fract_y
_atom_site_fract_z
Sc1 Sc 0.000 0.000 0.000
Mn1 Mn 0.243 0.000 0.502
As1 As 0.227 0.500 0.001
As2 As 0.474 0.000 0.500


2.
# ScMnAs PBE-GGA relaxed
# Raw total energy, eV per atom: -7.52
data_ScMnAs
_space_group_name_H-M_alt 'P 1 21/m 1'
_space_group_IT_number 11
_cell_length_a 6.693
_cell_length_b 3.790
_cell_length_c 11.558
_cell_angle_alpha 90.00
_cell_angle_beta 90.50
_cell_angle_gamma 90.00
loop_
_space_group_symop_operation_xyz
'x,y,z'
'-x,-y,-z'
'-x,y+1/2,-z'
'x,-y+1/2,z'
loop_
_atom_site_label
_atom_site_type_symbol
_atom_site_fract_x
_atom_site_fract_y
_atom_site_fract_z
Sc1 Sc 0.034 0.250 0.285
Sc2 Sc 0.349 0.750 0.919
Sc3 Sc 0.463 0.750 0.618
Mn1 Mn 0.000 0.250 0.913
Mn2 Mn 0.132 0.250 0.540
Mn3 Mn 0.357 0.750 0.201
As1 As 0.241 0.250 0.079
As2 As 0.245 0.750 0.414
As3 As 0.266 0.250 0.751